# Ta2Mo4W5

Crystalline Ta2Mo4W5 at its relaxed geometry (PBE-GGA, Alexandria via LeMat-Bulk).

Cell: 2.6312 8.1190 9.2463 Å, 86.32 98.19 90.00°
Closest atoms and distances in Å follow each position.
Atoms (fractional coordinates):
W  0.5000  0.0000  0.0000  6 W 2.63-2.90, 4 Mo 2.93
W  0.7460  0.6706  0.4921  4 W 2.63-2.83, 1 Mo 2.63, 1 Ta 2.75
W  0.1261  0.8378  0.2522  2 Mo 2.63-2.76, 6 W 2.63-2.90
W  0.8739  0.1622  0.7478  2 Mo 2.63-2.76, 6 W 2.63-2.90
W  0.2540  0.3294  0.5079  4 W 2.63-2.83, 1 Mo 2.63, 1 Ta 2.75
Ta  0.3778  0.5038  0.7556  2 Ta 2.63, 1 W 2.75
Ta  0.6222  0.4962  0.2444  2 Ta 2.63, 1 W 2.75
Mo  0.1363  0.1593  0.2726  2 W 2.63, 3 Mo 2.63-2.70
Mo  0.0027  0.3214  0.0055  4 Mo 2.63-2.90, 3 W 2.76-2.93
Mo  0.9973  0.6786  0.9945  4 Mo 2.63-2.90, 3 W 2.76-2.93
Mo  0.8637  0.8407  0.7274  2 W 2.63, 3 Mo 2.63-2.70

Calculated density = 14.170 g/cm³
Density of states at the Fermi level = 8.505 states/eV per cell
ΔH_f (0 K) = 0.5709 eV/atom
DFT total energy = -11.411 eV/atom